Entry 1
YRuAu after structural relaxation. Source: Alexandria, functional PBE-GGA.

Values from the calculation:
**Total magnetization**: 0.000 μB per atom

Structure (CIF):
```
data_YRuAu
_chemical_formula_sum 'Y4 Ru4 Au4'
_symmetry_space_group_name_H-M 'F -4 3 m'
_symmetry_Int_Tables_number 216
_symmetry_space_group_name_Hall 'F -4 2 3'
_cell_length_a 6.509
_cell_length_b 6.509
_cell_length_c 6.509
_cell_angle_alpha 90.00
_cell_angle_beta 90.00
_cell_angle_gamma 90.00
loop_
_atom_site_label
_atom_site_type_symbol
_atom_site_fract_x
_atom_site_fract_y
_atom_site_fract_z
Y1 Y 0.000 0.000 0.000
Ru1 Ru 0.250 0.250 0.250
Au1 Au 0.250 0.250 0.750
```



Entry 2
YRuAu after structural relaxation. Source: Alexandria, functional PBE-GGA.

Values from the calculation:
**Total magnetization**: 0.341 μB per atom

Structure (CIF):
```
data_YRuAu
_chemical_formula_sum 'Y4 Ru4 Au4'
_symmetry_space_group_name_H-M 'F -4 3 m'
_symmetry_Int_Tables_number 216
_symmetry_space_group_name_Hall 'F -4 2 3'
_cell_length_a 6.471
_cell_length_b 6.471
_cell_length_c 6.471
_cell_angle_alpha 90.00
_cell_angle_beta 90.00
_cell_angle_gamma 90.00
loop_
_atom_site_label
_atom_site_type_symbol
_atom_site_fract_x
_atom_site_fract_y
_atom_site_fract_z
Y1 Y 0.000 0.000 0.000
Ru1 Ru 0.250 0.250 0.250
Au1 Au 0.000 0.000 0.500
```



Entry 3
YRuAu after structural relaxation. Source: Alexandria, functional PBE-GGA.

Values from the calculation:
**Total magnetization**: 0.000 μB per atom

Structure (CIF):
```
data_YRuAu
_chemical_formula_sum 'Y1 Ru1 Au1'
_symmetry_space_group_name_H-M 'P -6 m 2'
_symmetry_Int_Tables_number 187
_symmetry_space_group_name_Hall 'P -6 2'
_cell_length_a 4.4726
_cell_length_b 4.4726
_cell_length_c 3.6256
_cell_angle_alpha 90.00
_cell_angle_beta 90.00
_cell_angle_gamma 120.00
loop_
_atom_site_label
_atom_site_type_symbol
_atom_site_fract_x
_atom_site_fract_y
_atom_site_fract_z
Y1 Y 0.0000 0.0000 0.0000
Ru1 Ru 0.3333 0.6667 0.5000
Au1 Au 0.6667 0.3333 0.5000
```



Entry 4
YRuAu after structural relaxation. Source: Alexandria, functional PBE-GGA.

Values from the calculation:
**Total magnetization**: 0.002 μB per atom

Structure (CIF):
```
data_YRuAu
_chemical_formula_sum 'Y2 Ru2 Au2'
_symmetry_space_group_name_H-M 'I 4 m m'
_symmetry_Int_Tables_number 107
_symmetry_space_group_name_Hall 'I 4 -2'
_cell_length_a 3.520
_cell_length_b 3.520
_cell_length_c 9.537
_cell_angle_alpha 90.00
_cell_angle_beta 90.00
_cell_angle_gamma 90.00
loop_
_atom_site_label
_atom_site_type_symbol
_atom_site_fract_x
_atom_site_fract_y
_atom_site_fract_z
Y1 Y 0.000 0.000 0.000
Ru1 Ru 0.000 0.000 0.666
Au1 Au 0.000 0.000 0.315
```



Relative energies, in eV/atom, with the most stable structure set to zero: entry 1 0.630; entry 2 0.328; entry 3 0.000; entry 4 0.066.



Entry 1
YRu3Au after structural relaxation. Source: Alexandria, functional PBE-GGA.

Values from the calculation:
**Total magnetization**: 0.949 μB per atom

Structure (CIF):
```
data_YRu3Au
_chemical_formula_sum 'Y1 Ru3 Au1'
_symmetry_space_group_name_H-M 'P m -3 m'
_symmetry_Int_Tables_number 221
_symmetry_space_group_name_Hall '-P 4 2 3'
_cell_length_a 4.871
_cell_length_b 4.871
_cell_length_c 4.871
_cell_angle_alpha 90.00
_cell_angle_beta 90.00
_cell_angle_gamma 90.00
loop_
_atom_site_label
_atom_site_type_symbol
_atom_site_fract_x
_atom_site_fract_y
_atom_site_fract_z
Y1 Y 0.000 0.000 0.000
Ru1 Ru 0.000 0.500 0.500
Au1 Au 0.500 0.500 0.500
```



Entry 2
YRu3Au after structural relaxation. Source: Alexandria, functional PBE-GGA.

Values from the calculation:
**Total magnetization**: 0.893 μB per atom

Structure (CIF):
```
data_YRu3Au
_chemical_formula_sum 'Y1 Ru3 Au1'
_symmetry_space_group_name_H-M 'P m -3 m'
_symmetry_Int_Tables_number 221
_symmetry_space_group_name_Hall '-P 4 2 3'
_cell_length_a 4.853
_cell_length_b 4.853
_cell_length_c 4.853
_cell_angle_alpha 90.00
_cell_angle_beta 90.00
_cell_angle_gamma 90.00
loop_
_atom_site_label
_atom_site_type_symbol
_atom_site_fract_x
_atom_site_fract_y
_atom_site_fract_z
Y1 Y 0.000 0.000 0.000
Ru1 Ru 0.000 0.000 0.500
Au1 Au 0.500 0.500 0.500
```



Relative energies, in eV/atom, with the most stable structure set to zero: entry 1 0.000; entry 2 0.576.



Entry 1
ZnRuAu after structural relaxation. Source: Alexandria, functional PBE-GGA.

Values from the calculation:
**Total magnetization**: 0.209 μB per atom

Structure (CIF):
```
data_ZnRuAu
_chemical_formula_sum 'Zn1 Ru1 Au1'
_symmetry_space_group_name_H-M 'P 3 m 1'
_symmetry_Int_Tables_number 156
_symmetry_space_group_name_Hall 'P 3 -2"'
_cell_length_a 2.8194
_cell_length_b 2.8194
_cell_length_c 6.7276
_cell_angle_alpha 90.00
_cell_angle_beta 90.00
_cell_angle_gamma 120.00
loop_
_atom_site_label
_atom_site_type_symbol
_atom_site_fract_x
_atom_site_fract_y
_atom_site_fract_z
Zn1 Zn 0.0000 0.0000 0.0000
Ru1 Ru 0.3333 0.6667 0.6909
Au1 Au 0.6667 0.3333 0.3372
```



Entry 2
ZnRuAu after structural relaxation. Source: Alexandria, functional PBE-GGA.

Values from the calculation:
**Total magnetization**: 0.000 μB per atom

Structure (CIF):
```
data_ZnRuAu
_chemical_formula_sum 'Zn2 Ru2 Au2'
_symmetry_space_group_name_H-M 'P 4/n m m'
_symmetry_Int_Tables_number 129
_cell_length_a 2.832
_cell_length_b 2.832
_cell_length_c 11.551
_cell_angle_alpha 90.00
_cell_angle_beta 90.00
_cell_angle_gamma 90.00
loop_
_symmetry_equiv_pos_as_xyz
'x,y,z'
'-x,-y,-z'
'-y+1/2,x,z'
'y+1/2,-x,-z'
'-x+1/2,-y+1/2,z'
'x+1/2,y+1/2,-z'
'y,-x+1/2,z'
'-y,x+1/2,-z'
'x+1/2,-y,-z'
'-x+1/2,y,z'
'-y,-x,-z'
'y,x,z'
'-x,y+1/2,-z'
'x,-y+1/2,z'
'y+1/2,x+1/2,-z'
'-y+1/2,-x+1/2,z'
loop_
_atom_site_label
_atom_site_type_symbol
_atom_site_fract_x
_atom_site_fract_y
_atom_site_fract_z
Zn1 Zn 0.250 0.250 0.229
Ru1 Ru 0.250 0.250 0.929
Au1 Au 0.250 0.250 0.600
```



Relative energies, in eV/atom, with the most stable structure set to zero: entry 1 0.228; entry 2 0.000.



Entry 1
ZnRuAu after structural relaxation. Source: Alexandria, functional PBE-GGA.

Values from the calculation:
**Total magnetization**: 0.411 μB per atom

Structure (CIF):
```
data_ZnRuAu
_chemical_formula_sum 'Zn2 Ru2 Au2'
_symmetry_space_group_name_H-M 'I 4 m m'
_symmetry_Int_Tables_number 107
_symmetry_space_group_name_Hall 'I 4 -2'
_cell_length_a 2.808
_cell_length_b 2.808
_cell_length_c 11.767
_cell_angle_alpha 90.00
_cell_angle_beta 90.00
_cell_angle_gamma 90.00
loop_
_atom_site_label
_atom_site_type_symbol
_atom_site_fract_x
_atom_site_fract_y
_atom_site_fract_z
Zn1 Zn 0.000 0.000 0.000
Ru1 Ru 0.000 0.000 0.347
Au1 Au 0.000 0.000 0.670
```



Entry 2
ZnRuAu after structural relaxation. Source: Alexandria, functional PBE-GGA.

Values from the calculation:
**Total magnetization**: 0.069 μB per atom

Structure (CIF):
```
data_ZnRuAu
_chemical_formula_sum 'Zn4 Ru4 Au4'
_symmetry_space_group_name_H-M 'F -4 3 m'
_symmetry_Int_Tables_number 216
_symmetry_space_group_name_Hall 'F -4 2 3'
_cell_length_a 5.912
_cell_length_b 5.912
_cell_length_c 5.912
_cell_angle_alpha 90.00
_cell_angle_beta 90.00
_cell_angle_gamma 90.00
loop_
_atom_site_label
_atom_site_type_symbol
_atom_site_fract_x
_atom_site_fract_y
_atom_site_fract_z
Zn1 Zn 0.000 0.000 0.000
Ru1 Ru 0.250 0.250 0.750
Au1 Au 0.250 0.250 0.250
```



Entry 3
ZnRuAu after structural relaxation. Source: Alexandria, functional PBE-GGA.

Values from the calculation:
**Total magnetization**: 0.291 μB per atom

Structure (CIF):
```
data_ZnRuAu
_chemical_formula_sum 'Zn4 Ru4 Au4'
_symmetry_space_group_name_H-M 'F m m 2'
_symmetry_Int_Tables_number 42
_symmetry_space_group_name_Hall 'F 2 -2'
_cell_length_a 2.899
_cell_length_b 4.725
_cell_length_c 13.724
_cell_angle_alpha 90.00
_cell_angle_beta 90.00
_cell_angle_gamma 90.00
loop_
_atom_site_label
_atom_site_type_symbol
_atom_site_fract_x
_atom_site_fract_y
_atom_site_fract_z
Zn1 Zn 0.000 0.000 0.000
Ru1 Ru 0.000 0.000 0.654
Au1 Au 0.000 0.000 0.333
```



Relative energies, in eV/atom, with the most stable structure set to zero: entry 1 0.000; entry 2 0.334; entry 3 0.058.